# LiGa2Pb2 | the Alexandria database | PBE-GGA | optimized geometry
# Calculated density (g cm⁻³): 7.3
# Energy of formation (eV/atom): 0.0532
data_LiGa2Pb2
_chemical_formula_sum 'Li2 Ga4 Pb4'
_cell_length_a 8.1997
_cell_length_b 8.1997
_cell_length_c 3.8049
_cell_angle_alpha 90.00
_cell_angle_beta 90.00
_cell_angle_gamma 90.00
_space_group_name_H-M_alt 'P 4/m b m'
_space_group_IT_number 127
_space_group_name_Hall '-P 4 2ab'
loop_
_atom_site_label
_atom_site_type_symbol
_atom_site_fract_x
_atom_site_fract_y
_atom_site_fract_z
_atom_site_occupancy
Li1 Li 0.0000 0.0000 0.0000 1
Ga1 Ga 0.1336 0.3664 0.5000 1
Pb1 Pb 0.1641 0.6641 0.0000 1

=====

# SrCoP2 | the Alexandria database | PBE-GGA | optimized geometry
# Calculated density (g cm⁻³): 5.1
# Energy of formation (eV/atom): -0.1793
data_SrCoP2
_chemical_formula_sum 'Sr1 Co1 P2'
_cell_length_a 3.2630
_cell_length_b 3.2630
_cell_length_c 6.4265
_cell_angle_alpha 90.00
_cell_angle_beta 90.00
_cell_angle_gamma 90.00
_space_group_name_H-M_alt 'P 4/m m m'
_space_group_IT_number 123
_space_group_name_Hall '-P 4 2'
loop_
_atom_site_label
_atom_site_type_symbol
_atom_site_fract_x
_atom_site_fract_y
_atom_site_fract_z
_atom_site_occupancy
Sr1 Sr 0.0000 0.0000 0.0000 1
Co1 Co 0.0000 0.0000 0.5000 1
P1 P 0.5000 0.5000 0.3310 1

=====

| no. | total energy (eV/atom) | Fermi-level density of states (states/eV/f.u.) |
| --- | --- | --- |
| 1 | -3.024 | 2.51 |
| 2 | -5.081 | 2.07 |